Record 1
Pm2Sm5Pt4 | GGA-PBE | relaxed

The structure in extended XYZ format:
```
11
Lattice="-3.0413 -1.6674 1.6108 2.7604 1.0041 6.2514 -3.8527 12.0185 0.6271" Properties=species:S:1:pos:R:3 pbc="T T T"
Pm -4.1035 9.0120 6.1206
Pm -0.0301 2.3432 2.3687
Sm 0.7930 3.8062 5.4373
Sm -4.9266 7.5490 3.0519
Sm -1.7651 5.4870 2.3472
Sm -1.5207 -0.8337 0.8054
Sm -2.3685 5.8682 6.1420
Pt -1.9476 3.4705 4.4548
Pt 1.6504 1.2728 4.4337
Pt -2.1860 7.8847 4.0345
Pt -5.7840 10.0825 4.0556
```

Calculated values
* DOS at the Fermi energy: 11.7 states/eV per cell
* E_form: -648 meV per atom
* calculated volume: 29.94 Å³ per atom

Record 2
PmSmPt2 | GGA-PBE | relaxed

The structure in extended XYZ format:
```
4
Lattice="3.8876 0.0000 -0.0239 0.0000 4.5350 0.0000 -1.9062 0.0000 5.4098" Properties=species:S:1:pos:R:3 pbc="T T T"
Pm 0.9133 2.2675 2.3121
Sm 0.9319 0.0000 5.2788
Pt -1.0160 2.2675 4.7587
Pt 2.8612 0.0000 2.8397
```

Calculated values
* DOS at the Fermi energy: 2.7 states/eV per cell
* E_form: -1188 meV per atom
* energy relative to the lowest polymorph listed for this composition: 0.00 kcal/mol of atoms
* calculated volume: 23.79 Å³ per atom

Record 3
PmSm2Pt9 | GGA-PBE | relaxed

The structure in extended XYZ format:
```
12
Lattice="-4.0655 1.0304 3.4854 -1.4313 -3.7395 3.7020 3.9903 2.5743 8.1596" Properties=species:S:1:pos:R:3 pbc="T T T"
Pm 0.0000 0.0000 0.0000
Sm -3.0641 -1.2563 9.5956
Sm 1.5576 1.1214 5.7514
Pt 0.3201 0.7648 12.9457
Pt -1.8267 -0.8997 2.4013
Pt -0.7533 -0.0675 7.6735
Pt -1.2552 -0.4640 5.0463
Pt -3.3127 0.0575 6.8102
Pt -1.9795 -2.3565 6.9198
Pt -0.2514 0.3290 10.3007
Pt 0.4730 2.2216 8.4272
Pt 1.8061 -0.1924 8.5368
```

Calculated values
* DOS at the Fermi energy: 9.5 states/eV per cell
* E_form: -934 meV per atom
* calculated volume: 19.10 Å³ per atom

| no. | M_tot (μB per formula unit) |
| --- | --- |
| 1 | 0.0 |
| 2 | 0.0 |
| 3 | 0.0 |